No. 1
DFT (PBE) results for an optimized crystal structure of MnTcPb.

Geometry as CIF:
```
data_MnTcPb
_chemical_formula_sum 'Mn1 Tc1 Pb1'
_space_group_name_H-M_alt 'P 3 m 1'
_space_group_IT_number 156
_space_group_name_Hall 'P 3 -2"'
_cell_length_a 3.0831
_cell_length_b 3.0831
_cell_length_c 6.6948
_cell_angle_alpha 90.00
_cell_angle_beta 90.00
_cell_angle_gamma 120.00
loop_
_atom_site_label
_atom_site_type_symbol
_atom_site_fract_x
_atom_site_fract_y
_atom_site_fract_z
Mn1 Mn 0.0000 0.0000 0.0000
Tc1 Tc 0.3333 0.6667 0.7379
Pb1 Pb 0.6667 0.3333 0.3711
```

=====

No. 2
DFT (PBE) results for an optimized crystal structure of LaTb5Nd2Sm.

Geometry as CIF:
```
data_LaTb5Nd2Sm
_chemical_formula_sum 'La4 Tb20 Nd8 Sm4'
_space_group_name_H-M_alt 'I 4/m c m'
_space_group_IT_number 140
_space_group_name_Hall '-I 4 2c'
_cell_length_a 8.7889
_cell_length_b 8.7889
_cell_length_c 15.7446
_cell_angle_alpha 90.00
_cell_angle_beta 90.00
_cell_angle_gamma 90.00
loop_
_atom_site_label
_atom_site_type_symbol
_atom_site_fract_x
_atom_site_fract_y
_atom_site_fract_z
La1 La 0.0000 0.0000 0.2500
Tb1 Tb 0.0000 0.0000 0.0000
Tb2 Tb 0.2081 0.2919 0.1365
Nd1 Nd 0.1179 0.3821 0.5000
Sm1 Sm 0.0000 0.5000 0.2500
```

=====

Computed values of formation energy (unit: meV per atom) for the preceding records, in sequence: 588, 248.